# 1
This record from Alexandria via LeMat-Bulk describes a relaxed structure of SrAlMo2Pt. The functional is PBE.

Results
**Distance to the lowest polymorph of the same formula**: 0 meV/atom
**Calculated formation energy**: 20.06 kcal/mol of atoms

abc: 5.019 5.019 4.748
angles: 90.00 90.00 90.00
Positions (direct):
Sr 0.000 0.000 0.000
Al 0.500 0.500 0.000
Mo 0.000 0.500 0.500
Mo 0.500 0.000 0.500
Pt 0.500 0.500 0.500



# 2
This record from Alexandria via LeMat-Bulk describes a relaxed structure of TiAlMoPt. The functional is PBE.

Results
**Calculated formation energy**: -13.05 kcal/mol of atoms

abc: 4.409 4.409 4.409
angles: 60.00 60.00 60.00
Positions (direct):
Ti 0.000 0.000 0.000
Al 0.500 0.500 0.500
Mo 0.250 0.250 0.250
Pt 0.750 0.750 0.750



# 3
This record from Alexandria via LeMat-Bulk describes a relaxed structure of Ti2Al5MoPt2. The functional is PBE.

Results
**Calculated formation energy**: -12.97 kcal/mol of atoms

abc: 8.920 8.920 4.033
angles: 90.00 90.00 90.00
Positions (direct):
Ti 0.167 0.333 0.000
Ti 0.333 0.833 0.000
Ti 0.667 0.167 0.000
Ti 0.833 0.667 0.000
Al 0.000 0.500 0.500
Al 0.067 0.801 0.500
Al 0.199 0.067 0.500
Al 0.301 0.567 0.500
Al 0.433 0.301 0.500
Al 0.500 0.000 0.500
Al 0.567 0.699 0.500
Al 0.699 0.433 0.500
Al 0.801 0.933 0.500
Al 0.933 0.199 0.500
Mo 0.000 0.000 0.000
Mo 0.500 0.500 0.000
Pt 0.130 0.630 0.000
Pt 0.370 0.130 0.000
Pt 0.630 0.870 0.000
Pt 0.870 0.370 0.000



# 4
This record from Alexandria via LeMat-Bulk describes a relaxed structure of TiAlMoPt2. The functional is PBE.

Results
**Calculated formation energy**: 19.28 kcal/mol of atoms

abc: 4.787 4.787 4.680
angles: 90.00 90.00 90.00
Positions (direct):
Ti 0.000 0.000 0.000
Al 0.500 0.500 0.000
Mo 0.500 0.500 0.500
Pt 0.000 0.500 0.500
Pt 0.500 0.000 0.500



# 5
This record from Alexandria via LeMat-Bulk describes a relaxed structure of PuAlMo. The functional is PBE.

Results
**Distance to the lowest polymorph of the same formula**: 129 meV/atom
**Calculated formation energy**: 1.93 kcal/mol of atoms

abc: 7.184 7.184 7.184
angles: 157.39 157.39 32.19
Positions (direct):
Pu 0.000 0.000 0.000
Al 0.321 0.321 0.000
Mo 0.679 0.679 0.000



# 6
This record from Alexandria via LeMat-Bulk describes a relaxed structure of Pu2Al3Mo. The functional is PBE.

Results
**Calculated formation energy**: -4.71 kcal/mol of atoms

abc: 5.529 5.529 5.529
angles: 59.00 59.00 59.00
Positions (direct):
Pu 0.130 0.130 0.130
Pu 0.870 0.870 0.870
Al 0.000 0.500 0.500
Al 0.500 0.000 0.500
Al 0.500 0.500 0.000
Mo 0.500 0.500 0.500



# 7
This record from Alexandria via LeMat-Bulk describes a relaxed structure of PuAlMo. The functional is PBE.

Results
**Distance to the lowest polymorph of the same formula**: 324 meV/atom
**Calculated formation energy**: 6.41 kcal/mol of atoms

abc: 4.901 4.901 2.483
angles: 90.00 90.00 120.00
Positions (direct):
Pu 0.000 0.000 0.000
Al 0.667 0.333 0.500
Mo 0.333 0.667 0.500



# 8
This record from Alexandria via LeMat-Bulk describes a relaxed structure of PuAl4Mo. The functional is PBE.

Results
**Calculated formation energy**: -4.48 kcal/mol of atoms

abc: 8.336 3.829 6.959
angles: 90.00 90.00 90.00
Positions (direct):
Pu 0.250 0.000 0.116
Pu 0.750 0.000 0.884
Al 0.000 0.000 0.500
Al 0.039 0.500 0.808
Al 0.250 0.500 0.447
Al 0.461 0.500 0.808
Al 0.500 0.000 0.500
Al 0.539 0.500 0.192
Al 0.750 0.500 0.553
Al 0.961 0.500 0.192
Mo 0.250 0.000 0.714
Mo 0.750 0.000 0.286